(1)
# K4GaAu3 (GGA-PBE, optimized geometry)
data_K4GaAu3
_chemical_formula_sum 'K4 Ga1 Au3'
_cell_length_a 4.874
_cell_length_b 4.555
_cell_length_c 12.462
_cell_angle_alpha 90.00
_cell_angle_beta 90.00
_cell_angle_gamma 90.00
_symmetry_space_group_name_H-M 'P 1'
_symmetry_Int_Tables_number 1
_symmetry_space_group_name_Hall 'P 1'
loop_
_atom_site_label
_atom_site_type_symbol
_atom_site_fract_x
_atom_site_fract_y
_atom_site_fract_z
_atom_site_occupancy
K1 K 0.000 0.000 0.154 1
Au1 Au 0.000 0.000 0.429 1
K2 K 0.500 0.500 0.367 1
Ga1 Ga 0.500 0.500 0.048 1
K3 K 0.500 0.000 0.637 1
K4 K 0.000 0.500 0.843 1
Au2 Au 0.500 0.000 0.951 1
Au3 Au 0.000 0.500 0.572 1
# SG = Pmm2
# DFT formation energy = -257 meV per atom
# Crystal system = orthorhombic
# N(E_F) = 2.93 states/eV/cell
# Final energy = -2.41 eV/atom



(2)
# K3Ga3Au5 (GGA-PBE, optimized geometry)
data_K3Ga3Au5
_chemical_formula_sum 'K3 Ga3 Au5'
_cell_length_a 6.274
_cell_length_b 7.872
_cell_length_c 7.872
_cell_angle_alpha 120.00
_cell_angle_beta 90.00
_cell_angle_gamma 90.00
_symmetry_space_group_name_H-M 'P 1'
_symmetry_Int_Tables_number 1
_symmetry_space_group_name_Hall 'P 1'
loop_
_atom_site_label
_atom_site_type_symbol
_atom_site_fract_x
_atom_site_fract_y
_atom_site_fract_z
_atom_site_occupancy
Ga1 Ga 0.500 0.360 0.360 1
Au1 Au 0.500 0.667 0.333 1
Au2 Au 0.500 0.728 0.728 1
K1 K 0.000 0.355 0.000 1
Au3 Au 0.500 0.272 0.000 1
Ga2 Ga 0.500 0.640 0.000 1
Ga3 Ga 0.500 0.000 0.640 1
K2 K 0.000 0.000 0.355 1
K3 K 0.000 0.645 0.645 1
Au4 Au 0.500 0.333 0.667 1
Au5 Au 0.500 0.000 0.272 1
# SG = P-62m
# DFT formation energy = -222 meV per atom
# Crystal system = hexagonal
# N(E_F) = 2.87 states/eV/cell
# Final energy = -2.84 eV/atom



(3)
# K2GaAu5 (GGA-PBE, optimized geometry)
data_K2GaAu5
_chemical_formula_sum 'K2 Ga1 Au5'
_cell_length_a 7.042
_cell_length_b 7.031
_cell_length_c 7.031
_cell_angle_alpha 78.60
_cell_angle_beta 131.69
_cell_angle_gamma 122.09
_symmetry_space_group_name_H-M 'P 1'
_symmetry_Int_Tables_number 1
_symmetry_space_group_name_Hall 'P 1'
loop_
_atom_site_label
_atom_site_type_symbol
_atom_site_fract_x
_atom_site_fract_y
_atom_site_fract_z
_atom_site_occupancy
Au1 Au 0.462 0.693 0.728 1
Ga1 Ga 0.000 0.058 0.057 1
Au2 Au 0.034 0.267 0.727 1
Au3 Au 0.967 0.693 0.233 1
K1 K 0.499 0.207 0.707 1
Au4 Au 0.539 0.266 0.232 1
Au5 Au 0.000 0.294 0.294 1
K2 K 0.500 0.745 0.244 1
# SG = C2
# DFT formation energy = -270 meV per atom
# Crystal system = monoclinic
# N(E_F) = 1.72 states/eV/cell
# Final energy = -2.97 eV/atom